# MgGa2Pt9

A relaxed MgGa2Pt9 crystal (PBE-GGA, Alexandria).

## Properties
SG = P4/mmm (123)
Energy of formation = -11.5 kcal/mol of atoms
M_tot = 0.0 μB per formula unit

Cell lengths 3.948, 3.948, 11.868 Å; angles 90.00, 90.00, 90.00 degrees
Fractional positions:
Ga (0.000, 0.000, 0.667)
Pt (0.000, 0.500, 0.500)
Pt (0.500, 0.000, 0.832)
Mg (0.000, 0.000, 0.000)
Pt (0.000, 0.500, 0.168)
Pt (0.500, 0.000, 0.168)
Pt (0.500, 0.500, 0.000)
Ga (0.000, 0.000, 0.333)
Pt (0.500, 0.500, 0.334)
Pt (0.000, 0.500, 0.832)
Pt (0.500, 0.000, 0.500)
Pt (0.500, 0.500, 0.666)